## TlVHF6 (GGA+U)

Data for crystalline TlVHF6 at its relaxed geometry.

Cell lengths 5.8133, 5.8215, 5.7128 Å; angles 91.80, 89.62, 50.20 degrees
Atoms (fractional coordinates):
F1 0.0597 0.3098 0.3200
F2 0.1926 0.6865 0.3585
F3 0.9780 0.5684 0.7189
F4 0.6002 0.1178 0.2221
F5 0.5426 0.3364 0.6875
F6 0.4902 0.9329 0.6117
H1 0.7364 0.7486 0.6586
V1 0.3244 0.3279 0.4650
Tl1 0.0757 0.9719 0.9576

Summary:
* space group: P1
* E_tot: -45.14 eV/cell
* size of the total moment: 1.00 μB per cell
* D(E_F): 0.00 states/eV per cell
* crystal system: triclinic
* ρ: 4145 kg/m3